No. 1
This record from Alexandria describes an optimized crystal structure of SrGa6Cu6. The functional is GGA-PBE.

## Properties
DFT total energy = -3.63 eV/atom
DOS(E_F) = 0.25 states/eV/atom

Lattice parameters (Å, degrees): 5.169 8.732 8.888 90.00 90.00 90.00
Space group Immm (No. 71)
Inequivalent atoms, fractional coordinates:
Sr: 0.000 0.000 0.000 (multiplicity 2)
Ga: 0.000 0.000 0.352 (multiplicity 4)
Ga: 0.000 0.350 0.000 (multiplicity 4)
Ga: 0.000 0.500 0.296 (multiplicity 4)
Cu: 0.000 0.264 0.500 (multiplicity 4)
Cu: 0.250 0.250 0.250 (multiplicity 8)

***

No. 2
This record from Alexandria describes an optimized crystal structure of Sr2Ga3Cu. The functional is GGA-PBE.

## Properties
DFT total energy = -3.14 eV/atom
DOS(E_F) = 0.65 states/eV/atom

Lattice parameters (Å, degrees): 8.733 8.917 15.459 90.00 90.00 90.00
Space group Fmmm (No. 69)
Inequivalent atoms, fractional coordinates:
Sr: 0.241 0.000 0.000 (multiplicity 8)
Sr: 0.250 0.250 0.250 (multiplicity 8)
Ga: 0.000 0.000 0.331 (multiplicity 8)
Ga: 0.000 0.249 0.085 (multiplicity 16)
Cu: 0.000 0.000 0.167 (multiplicity 8)

***

No. 3
This record from Alexandria describes an optimized crystal structure of SrGa4Cu4. The functional is GGA-PBE.

## Properties
DFT total energy = -3.53 eV/atom
DOS(E_F) = 0.11 states/eV/atom

Lattice parameters (Å, degrees): 8.492 8.492 4.560 90.00 90.00 90.00
Space group I4/m (No. 87)
Inequivalent atoms, fractional coordinates:
Sr: 0.000 0.000 0.000 (multiplicity 2)
Ga: 0.108 0.615 0.500 (multiplicity 8)
Cu: 0.174 0.296 0.500 (multiplicity 8)